Below is a relaxed structure of Dy2NpSi, with properties calculated at the PBE-GGA level.

Output
- DOS at the Fermi energy (states/eV/f.u.) = 8.1
- electronic total energy (eV per atom) = -6.579
- formation energy (no corrections) (eV/atom) = 0.31

abc: 10.9077 10.9077 10.9077
angles: 18.10 18.10 18.10
Positions (direct):
Dy  0.1030  0.1030  0.1030
Dy  0.8970  0.8970  0.8970
Np  0.0000  0.0000  0.0000
Si  0.5000  0.5000  0.5000